## i
# LaNi3Te

Crystalline LaNi3Te at its relaxed geometry (PBE-GGA, Alexandria via LeMat-Bulk).

Output
Volume, A^3/atom: 20.9
Total magnetic moment, μB/atom: 0.000
DOS at the Fermi energy, states/eV/f.u.: 2.777

a b c (Å): 4.7070 4.7070 4.7070
angles (deg): 90.00 90.00 90.00
Space group Pm-3m (No. 221)
Asymmetric unit:
La: 0.0000 0.0000 0.0000
Ni: 0.0000 0.5000 0.5000
Te: 0.5000 0.5000 0.5000


## ii
# LaNi3Te

Crystalline LaNi3Te at its relaxed geometry (PBE-GGA, Alexandria via LeMat-Bulk).

Output
Volume, A^3/atom: 21.6
Total magnetic moment, μB/atom: 0.000
DOS at the Fermi energy, states/eV/f.u.: 3.033

a b c (Å): 4.7655 4.7655 4.7655
angles (deg): 90.00 90.00 90.00
Space group Pm-3m (No. 221)
Asymmetric unit:
La: 0.0000 0.0000 0.0000
Ni: 0.0000 0.0000 0.5000
Te: 0.5000 0.5000 0.5000


Most favorable first, least favorable last: i, ii


## i
# LaTh2Ni

Crystalline LaTh2Ni at its relaxed geometry (PBE-GGA, Alexandria via LeMat-Bulk).

Output
Volume, A^3/atom: 29.6
Total magnetic moment, μB/atom: 0.000
DOS at the Fermi energy, states/eV/f.u.: 7.153

a b c (Å): 3.8219 3.8219 28.0348
angles (deg): 90.00 90.00 120.00
Space group R3m (No. 160, hexagonal axes)
Asymmetric unit:
La: 0.0000 0.0000 0.0000
Th: 0.0000 0.0000 0.5638
Th: 0.0000 0.0000 0.7746
Ni: 0.0000 0.0000 0.1686


## ii
# LaTh2Ni

Crystalline LaTh2Ni at its relaxed geometry (PBE-GGA, Alexandria via LeMat-Bulk).

Output
Volume, A^3/atom: 30.3
Total magnetic moment, μB/atom: 0.000
DOS at the Fermi energy, states/eV/f.u.: 7.310

a b c (Å): 3.6788 3.6788 31.0350
angles (deg): 90.00 90.00 120.00
Space group R-3m (No. 166, hexagonal axes)
Asymmetric unit:
La: 0.0000 0.0000 0.0000
Th: 0.0000 0.0000 0.1093
Ni: 0.0000 0.0000 0.5000


## iii
# LaTh2Ni

Crystalline LaTh2Ni at its relaxed geometry (PBE-GGA, Alexandria via LeMat-Bulk).

Output
Volume, A^3/atom: 28.1
Total magnetic moment, μB/atom: 0.000
DOS at the Fermi energy, states/eV/f.u.: 5.374

a b c (Å): 7.1009 9.9638 6.3557
angles (deg): 90.00 90.00 90.00
Space group Pnma (No. 62)
Asymmetric unit:
La: 0.0480 0.2500 0.1530
Th: 0.1842 0.0645 0.6484
Ni: 0.1017 0.7500 0.3807


Most favorable first, least favorable last: iii, i, ii


## i
# LaTh2Ni

Crystalline LaTh2Ni at its relaxed geometry (PBE-GGA, Alexandria via LeMat-Bulk).

Output
Volume, A^3/atom: 27.9
Total magnetic moment, μB/atom: 0.000
DOS at the Fermi energy, states/eV/f.u.: 4.649

a b c (Å): 3.7348 9.9424 6.2967
angles (deg): 90.00 107.23 90.00
Space group P2_1/m (No. 11)
Asymmetric unit:
La: 0.0876 0.2500 0.1735
Th: 0.3604 0.0589 0.7224
Ni: 0.2098 0.7500 0.4183


## ii
# LaTh2Ni

Crystalline LaTh2Ni at its relaxed geometry (PBE-GGA, Alexandria via LeMat-Bulk).

Output
Volume, A^3/atom: 27.5
Total magnetic moment, μB/atom: 0.000
DOS at the Fermi energy, states/eV/f.u.: 6.278

a b c (Å): 3.5867 3.5867 8.5441
angles (deg): 90.00 90.00 90.00
Space group P4/mmm (No. 123)
Asymmetric unit:
La: 0.0000 0.0000 0.0000
Th: 0.5000 0.5000 0.3098
Ni: 0.0000 0.0000 0.5000


Most favorable first, least favorable last: i, ii


## i
# LaThNi

Crystalline LaThNi at its relaxed geometry (PBE-GGA, Alexandria via LeMat-Bulk).

Output
Volume, A^3/atom: 27.5
Total magnetic moment, μB/atom: 0.000
DOS at the Fermi energy, states/eV/f.u.: 3.206

a b c (Å): 3.8144 3.8144 6.5585
angles (deg): 90.00 90.00 120.00
Space group P3m1 (No. 156)
Asymmetric unit:
La: 0.0000 0.0000 0.0000
Th: 0.3333 0.6667 0.5438
Ni: 0.6667 0.3333 0.2907


## ii
# LaThNi

Crystalline LaThNi at its relaxed geometry (PBE-GGA, Alexandria via LeMat-Bulk).

Output
Volume, A^3/atom: 27.2
Total magnetic moment, μB/atom: 0.000
DOS at the Fermi energy, states/eV/f.u.: 4.108

a b c (Å): 11.7305 16.8242 6.6172
angles (deg): 90.00 90.00 90.00
Space group Fdd2 (No. 43)
Asymmetric unit:
La: 0.1128 0.2250 0.0000
Th: 0.0926 0.4110 0.7497
Ni: 0.1136 0.3154 0.3858


Most favorable first, least favorable last: i, ii


## i
# LaThNi2

Crystalline LaThNi2 at its relaxed geometry (PBE-GGA, Alexandria via LeMat-Bulk).

Output
Volume, A^3/atom: 22.2
Total magnetic moment, μB/atom: 0.000
DOS at the Fermi energy, states/eV/f.u.: 3.346

a b c (Å): 3.5425 3.5425 7.0619
angles (deg): 90.00 90.00 90.00
Space group P4/mmm (No. 123)
Asymmetric unit:
La: 0.0000 0.0000 0.0000
Th: 0.0000 0.0000 0.5000
Ni: 0.5000 0.5000 0.2960


## ii
# LaThNi2

Crystalline LaThNi2 at its relaxed geometry (PBE-GGA, Alexandria via LeMat-Bulk).

Output
Volume, A^3/atom: 21.7
Total magnetic moment, μB/atom: 0.000
DOS at the Fermi energy, states/eV/f.u.: 4.878

a b c (Å): 7.0337 7.0337 7.0337
angles (deg): 90.00 90.00 90.00
Space group Fm-3m (No. 225)
Asymmetric unit:
La: 0.0000 0.0000 0.0000
Th: 0.0000 0.0000 0.5000
Ni: 0.2500 0.2500 0.2500


Most favorable first, least favorable last: i, ii


## i
# LaThNi2

Crystalline LaThNi2 at its relaxed geometry (PBE-GGA, Alexandria via LeMat-Bulk).

Output
Volume, A^3/atom: 23.9
Total magnetic moment, μB/atom: 0.000
DOS at the Fermi energy, states/eV/f.u.: 2.496

a b c (Å): 3.9833 3.9833 20.9014
angles (deg): 90.00 90.00 120.00
Space group R3m (No. 160, hexagonal axes)
Asymmetric unit:
La: 0.0000 0.0000 0.0000
Th: 0.0000 0.0000 0.8279
Ni: 0.0000 0.0000 0.2422
Ni: 0.0000 0.0000 0.4173


## ii
# LaThNi2

Crystalline LaThNi2 at its relaxed geometry (PBE-GGA, Alexandria via LeMat-Bulk).

Output
Volume, A^3/atom: 22.5
Total magnetic moment, μB/atom: 0.000
DOS at the Fermi energy, states/eV/f.u.: 3.888

a b c (Å): 3.7366 4.2816 5.9141
angles (deg): 90.00 108.25 90.00
Space group Pm (No. 6)
Asymmetric unit:
La: 0.0000 0.0000 0.0000
Th: 0.2621 0.5000 0.5296
Ni: 0.5672 0.5000 0.1365
Ni: 0.7228 0.0000 0.4505


## iii
# LaThNi2

Crystalline LaThNi2 at its relaxed geometry (PBE-GGA, Alexandria via LeMat-Bulk).

Output
Volume, A^3/atom: 22.8
Total magnetic moment, μB/atom: 0.000
DOS at the Fermi energy, states/eV/f.u.: 3.317

a b c (Å): 4.6543 4.6543 14.5978
angles (deg): 90.00 90.00 120.00
Space group R-3m (No. 166, hexagonal axes)
Asymmetric unit:
La: 0.0000 0.0000 0.0000
Th: 0.0000 0.0000 0.5000
Ni: 0.0000 0.0000 0.2154


Most favorable first, least favorable last: ii, iii, i


## i
# LaTh2Ni6

Crystalline LaTh2Ni6 at its relaxed geometry (PBE-GGA, Alexandria via LeMat-Bulk).

Output
Volume, A^3/atom: 18.7
Total magnetic moment, μB/atom: 0.000
DOS at the Fermi energy, states/eV/f.u.: 12.879

a b c (Å): 7.1227 7.1227 3.8220
angles (deg): 90.00 90.00 120.00
Space group P6/mmm (No. 191)
Asymmetric unit:
La: 0.0000 0.0000 0.0000
Th: 0.3333 0.6667 0.0000
Ni: 0.0000 0.3367 0.5000


## ii
# LaTh2Ni6

Crystalline LaTh2Ni6 at its relaxed geometry (PBE-GGA, Alexandria via LeMat-Bulk).

Output
Volume, A^3/atom: 18.9
Total magnetic moment, μB/atom: 0.000
DOS at the Fermi energy, states/eV/f.u.: 6.474

a b c (Å): 3.6741 7.0871 13.0539
angles (deg): 90.00 90.00 90.00
Space group Immm (No. 71)
Asymmetric unit:
La: 0.0000 0.0000 0.0000
Th: 0.0000 0.5000 0.1464
Ni: 0.0000 0.1774 0.5000
Ni: 0.0000 0.3029 0.3243


Most favorable first, least favorable last: i, ii


## i
# La2TiNi

Crystalline La2TiNi at its relaxed geometry (PBE-GGA, Alexandria via LeMat-Bulk).

Output
Volume, A^3/atom: 24.0
Total magnetic moment, μB/atom: 0.000
DOS at the Fermi energy, states/eV/f.u.: 11.562

a b c (Å): 7.2728 7.2728 7.2728
angles (deg): 90.00 90.00 90.00
Space group Fm-3m (No. 225)
Asymmetric unit:
La: 0.2500 0.2500 0.2500
Ti: 0.0000 0.0000 0.0000
Ni: 0.0000 0.0000 0.5000


## ii
# La2TiNi

Crystalline La2TiNi at its relaxed geometry (PBE-GGA, Alexandria via LeMat-Bulk).

Output
Volume, A^3/atom: 25.6
Total magnetic moment, μB/atom: 0.452
DOS at the Fermi energy, states/eV/f.u.: 5.673

a b c (Å): 8.1320 8.1320 6.1828
angles (deg): 90.00 90.00 90.00
Space group I-42d (No. 122)
Asymmetric unit:
La: 0.1983 0.2500 0.1250
Ti: 0.0000 0.0000 0.5000
Ni: 0.0000 0.0000 0.0000


Most favorable first, least favorable last: i, ii